P:
The following is a PBE-GGA calculation of an optimized crystal structure of ZrAsSe2F, from the Alexandria database.

Unit cell a=5.113 b=5.113 c=5.325 alpha=90.00 beta=90.00 gamma=90.00
Space group P4/mmm (No. 123)
Inequivalent atoms, fractional coordinates:
Zr: 0.000 0.000 0.000 [1 per cell]
As: 0.000 0.000 0.500 [1 per cell]
Se: 0.000 0.500 0.000 [2 per cell]
F: 0.500 0.500 0.500 [1 per cell]

Properties
The calculated volume comes out at 27.843 Å³ per atom.

Q:
The following is a PBE-GGA calculation of an optimized crystal structure of ZrAsSe2F, from the Alexandria database.

Unit cell a=4.883 b=4.883 c=4.051 alpha=90.00 beta=90.00 gamma=90.00
Space group P4/mmm (No. 123)
Inequivalent atoms, fractional coordinates:
Zr: 0.000 0.000 0.000 [1 per cell]
As: 0.500 0.500 0.000 [1 per cell]
Se: 0.000 0.500 0.500 [2 per cell]
F: 0.500 0.500 0.500 [1 per cell]

Properties
The calculated volume comes out at 19.318 Å³ per atom.

Referenced to the most stable arrangement, the calculated values in meV per atom are P 0; Q 86.

P:
The following is a PBE-GGA calculation of an optimized crystal structure of ZrAs2SeF, from the Alexandria database.

Unit cell a=5.209 b=5.209 c=5.086 alpha=90.00 beta=90.00 gamma=90.00
Space group P4/mmm (No. 123)
Inequivalent atoms, fractional coordinates:
Zr: 0.000 0.000 0.000 [1 per cell]
As: 0.000 0.500 0.000 [2 per cell]
Se: 0.000 0.000 0.500 [1 per cell]
F: 0.500 0.500 0.500 [1 per cell]

Properties
The calculated volume comes out at 27.604 Å³ per atom.

Q:
The following is a PBE-GGA calculation of an optimized crystal structure of ZrAs2SeF, from the Alexandria database.

Unit cell a=4.243 b=4.243 c=5.288 alpha=90.00 beta=90.00 gamma=90.00
Space group P4/mmm (No. 123)
Inequivalent atoms, fractional coordinates:
Zr: 0.000 0.000 0.000 [1 per cell]
As: 0.000 0.500 0.500 [2 per cell]
Se: 0.500 0.500 0.000 [1 per cell]
F: 0.500 0.500 0.500 [1 per cell]

Properties
The calculated volume comes out at 19.035 Å³ per atom.

Referenced to the most stable arrangement, the calculated values in meV per atom are P 138; Q 0.

P:
The following is a PBE-GGA calculation of an optimized crystal structure of Si3AsF, from the Alexandria database.

Unit cell a=4.455 b=4.455 c=4.455 alpha=90.00 beta=90.00 gamma=90.00
Space group Pm-3m (No. 221)
Inequivalent atoms, fractional coordinates:
Si: 0.000 0.000 0.500 [3 per cell]
As: 0.500 0.500 0.500 [1 per cell]
F: 0.000 0.000 0.000 [1 per cell]

Properties
The calculated volume comes out at 17.682 Å³ per atom.

Q:
The following is a PBE-GGA calculation of an optimized crystal structure of Si3AsF, from the Alexandria database.

Unit cell a=4.887 b=4.887 c=4.887 alpha=90.00 beta=90.00 gamma=90.00
Space group Pm-3m (No. 221)
Inequivalent atoms, fractional coordinates:
Si: 0.000 0.000 0.500 [3 per cell]
As: 0.000 0.000 0.000 [1 per cell]
F: 0.500 0.500 0.500 [1 per cell]

Properties
The calculated volume comes out at 23.346 Å³ per atom.

Referenced to the most stable arrangement, the calculated values in meV per atom are P 0; Q 370.